(1)
PBE Mo2OsRh, relaxed; excess energy over the best structure of this formula in the dataset = 87 meV per atom
1.0
-2.148 1.202 4.103
0.268 -0.010 4.778
1.975 4.322 0.685
Mo Os Rh
2 1 1
direct
0.995 0.995 0.019 Mo
0.756 0.756 0.730 Mo
0.502 0.502 0.513 Os
0.247 0.247 0.238 Rh

(2)
Here is a geometry-optimized Dy5Ho4Cd2 structure from Alexandria via LeMat-Bulk. Energies are from PBE.

Structure (POSCAR):
```
Dy5Ho4Cd2
1.0
-1.786 -2.083 2.115
7.125 -1.620 4.422
-2.717 8.717 6.289
Ho Dy Cd
4 5 2
direct
0.500 0.148 0.882 Ho
0.500 0.270 0.450 Ho
0.500 0.730 0.550 Ho
0.500 0.852 0.118 Ho
0.000 0.202 0.165 Dy
0.000 0.565 0.298 Dy
0.000 0.500 0.000 Dy
0.000 0.798 0.835 Dy
0.000 0.435 0.702 Dy
0.000 0.057 0.634 Cd
0.000 0.943 0.366 Cd
```

Number 1: uncorrected energy -40.2 eV for the cell shown. Number 2: uncorrected energy -43.0 eV for the cell shown.